(1)
# Mg5HgCl12 | Alexandria | GGA-PBE | relaxed
# * formation energy without anion corrections: -1.63 eV/atom
data_Mg5HgCl12
_cell_length_a 6.443
_cell_length_b 11.164
_cell_length_c 13.175
_cell_angle_alpha 90.00
_cell_angle_beta 90.07
_cell_angle_gamma 90.00
_space_group_name_H-M_alt 'C 1 2/m 1'
_space_group_IT_number 12
_space_group_name_Hall '-C 2y'
loop_
_atom_site_label
_atom_site_fract_x
_atom_site_fract_y
_atom_site_fract_z
_atom_site_occupancy
Mg1 0.000 0.000 0.000 1
Mg2 0.000 0.166 0.500 1
Mg3 0.000 0.333 0.000 1
Hg1 0.000 0.500 0.500 1
Cl1 0.144 0.000 0.609 1
Cl2 0.166 0.167 0.897 1
Cl3 0.166 0.500 0.897 1
Cl4 0.178 0.322 0.609 1



(2)
# ZnAs2Ru | Alexandria | GGA-PBE | relaxed
# * energy relative to the elements: 0.26 eV per formula unit
data_ZnAs2Ru
_cell_length_a 8.009
_cell_length_b 3.122
_cell_length_c 5.364
_cell_angle_alpha 90.00
_cell_angle_beta 98.88
_cell_angle_gamma 90.00
_space_group_name_H-M_alt 'C 1 2/m 1'
_space_group_IT_number 12
_space_group_name_Hall '-C 2y'
loop_
_atom_site_label
_atom_site_fract_x
_atom_site_fract_y
_atom_site_fract_z
_atom_site_occupancy
Zn1 0.000 0.000 0.000 1
As1 0.229 0.000 0.724 1
Ru1 0.000 0.500 0.500 1



(3)
# KGa2AgI4 | Alexandria | GGA-PBE | relaxed
# * formation energy without anion corrections: -0.55 eV/atom
data_KGa2AgI4
_cell_length_a 9.542
_cell_length_b 9.567
_cell_length_c 13.210
_cell_angle_alpha 90.00
_cell_angle_beta 90.00
_cell_angle_gamma 90.00
_space_group_name_H-M_alt 'I m m a'
_space_group_IT_number 74
_space_group_name_Hall '-I 2b 2'
loop_
_atom_site_label
_atom_site_fract_x
_atom_site_fract_y
_atom_site_fract_z
_atom_site_occupancy
K1 0.250 0.250 0.250 1
Ga1 0.000 0.000 0.000 1
Ga2 0.250 0.250 0.750 1
Ag1 0.000 0.000 0.500 1
I1 0.000 0.011 0.718 1
I2 0.242 0.250 0.994 1